[1]
DFT (GGA-PBE) results for an optimized crystal structure of CaY2Ni2.

Cell: 4.9905 4.9905 6.3536 Å, 66.88 66.88 90.00°
Last column: nearest neighbours and their distance in Å.
Element x y z (fractional)
1 Y 0.3353 0.3353 0.3294  4 Ni 2.65
2 Y 0.6647 0.6647 0.6706  4 Ni 2.65
3 Ni 0.7500 0.2500 0.5000  4 Y 2.65
4 Ni 0.2500 0.7500 0.5000  4 Y 2.65
5 Ca 0.0000 0.0000 0.0000  10 Y 3.54-3.93, 8 Ni 3.63

Computed properties:
ΔE_f ... 0.050 eV/atom
Total DFT energy (no corrections) ... -5.25 eV/atom
Crystal system ... tetragonal
ΔE to the lowest computed polymorph ... 295 meV/atom
Space group ... I4/mmm, No. 139

=====

[2]
DFT (GGA-PBE) results for an optimized crystal structure of TmMgTiZn.

Cell: 4.8621 4.8621 4.8621 Å, 60.00 60.00 60.00°
Last column: nearest neighbours and their distance in Å.
Element x y z (fractional)
1 Zn 0.0000 0.0000 0.0000  4 Ti 2.98, 4 Tm 2.98
2 Tm 0.7500 0.7500 0.7500  4 Mg 2.98, 4 Zn 2.98
3 Mg 0.5000 0.5000 0.5000  4 Tm 2.98, 4 Ti 2.98
4 Ti 0.2500 0.2500 0.2500  4 Mg 2.98, 4 Zn 2.98

Computed properties:
ΔE_f ... 0.025 eV/atom
Total DFT energy (no corrections) ... -3.78 eV/atom
Crystal system ... cubic
Space group ... F-43m, No. 216

=====

[3]
DFT (GGA-PBE) results for an optimized crystal structure of ErVIrRh.

Cell: 4.5724 4.5724 4.5724 Å, 60.00 60.00 60.00°
Last column: nearest neighbours and their distance in Å.
Element x y z (fractional)
1 V 0.2500 0.2500 0.2500  4 Rh 2.80, 4 Ir 2.80
2 Ir 0.0000 0.0000 0.0000  4 Er 2.80, 4 V 2.80
3 Rh 0.5000 0.5000 0.5000  4 Er 2.80, 4 V 2.80
4 Er 0.7500 0.7500 0.7500  4 Rh 2.80, 4 Ir 2.80

Computed properties:
ΔE_f ... -0.411 eV/atom
Total DFT energy (no corrections) ... -7.88 eV/atom
Crystal system ... cubic
Space group ... F-43m, No. 216

=====

[4]
DFT (GGA-PBE) results for an optimized crystal structure of TmCd8Hg4.

Cell: 3.3453 4.6561 20.5693 Å, 90.00 90.00 90.00°
Last column: nearest neighbours and their distance in Å.
Element x y z (fractional)
1 Tm 0.0000 0.0000 0.3379  5 Cd 3.14-3.26, 4 Hg 3.20, 2 Tm 3.35
2 Cd 0.0000 0.0000 0.4903  2 Hg 2.97, 1 Tm 3.14
3 Cd 0.0000 0.5000 0.8756  4 Hg 3.06, 4 Cd 3.07-3.35
4 Cd 0.5000 0.5000 0.0280  6 Hg 3.06-3.11, 2 Cd 3.35
5 Cd 0.5000 0.0000 0.6340  8 Cd 3.05-3.40, 4 Hg 3.07
6 Cd 0.0000 0.5000 0.2322  4 Cd 2.93, 2 Tm 3.18
7 Cd 0.0000 0.0000 0.7779  8 Cd 3.03-3.35
8 Cd 0.5000 0.0000 0.2018  4 Cd 2.93, 2 Hg 3.00, 2 Tm 3.26
9 Cd 0.5000 0.5000 0.7301  8 Cd 3.03-3.35
10 Hg 0.0000 0.0000 0.0807  6 Cd 3.00-3.06, 2 Hg 3.35
11 Hg 0.0000 0.5000 0.5801  6 Cd 2.97-3.07
12 Hg 0.5000 0.5000 0.4067  4 Tm 3.20, 4 Cd 3.34, 2 Hg 3.35
13 Hg 0.5000 0.0000 0.9276  6 Cd 3.06-3.11, 2 Hg 3.35

Computed properties:
ΔE_f ... -0.008 eV/atom
Total DFT energy (no corrections) ... -1.01 eV/atom
Crystal system ... orthorhombic
Space group ... Pmm2, No. 25